MgFePd: optimized geometry, PBE-GGA.

The structure in POSCAR format:
```
MgFePd
1.0
2.267 -2.816 -2.228
-1.356 -4.008 -0.361
-1.453 -1.423 -3.728
Fe Mg Pd
1 1 1
Direct
0.250 0.250 0.250 Fe
0.750 0.750 0.750 Mg
0.000 0.000 0.000 Pd
```

Results
Calculated volume   54.2 Å³ per cell
SG   No. 216
Final energy   -4.8878 eV per atom

=====

Ta4BeSi: optimized geometry, PBE-GGA.

The structure in POSCAR format:
```
Ta4BeSi
1.0
-3.826 -3.080 0.924
0.348 4.393 2.356
-0.544 1.227 -4.814
Be Si Ta
1 1 4
Direct
0.000 0.000 0.000 Be
0.500 0.500 0.000 Si
0.589 0.089 0.178 Ta
0.411 0.589 0.500 Ta
0.089 0.911 0.500 Ta
0.911 0.411 0.822 Ta
```

Results
Calculated volume   93.3 Å³ per cell
SG   No. 97
Final energy   -9.8677 eV per atom

=====

TbHfCu: optimized geometry, PBE-GGA.

The structure in POSCAR format:
```
TbHfCu
1.0
-3.371 0.621 3.088
-4.178 1.377 -1.391
-3.562 -2.929 0.148
Cu Hf Tb
1 1 1
Direct
0.000 0.000 0.000 Cu
0.250 0.250 0.250 Hf
0.750 0.750 0.750 Tb
```

Results
Calculated volume   69.4 Å³ per cell
ΔE_f   0.311 eV per atom
SG   No. 216
Final energy   -5.7893 eV per atom

=====

LaTlHgS3: optimized geometry, PBE-GGA.

The structure in POSCAR format:
```
LaTlHgS3
1.0
-3.140 -2.397 -6.829
3.372 -2.578 -0.646
-3.814 -6.766 7.105
Hg La S Tl
2 2 6 2
Direct
0.580 0.250 0.119 Hg
0.420 0.750 0.881 Hg
0.788 0.750 0.373 La
0.212 0.250 0.627 La
0.739 0.750 0.069 S
0.536 0.250 0.349 S
0.031 0.250 0.360 S
0.969 0.750 0.640 S
0.464 0.750 0.651 S
0.261 0.250 0.931 S
0.212 0.750 0.214 Tl
0.788 0.250 0.786 Tl
```

Results
Calculated volume   345.7 Å³ per cell
SG   No. 11
Final energy   -4.3240 eV per atom